First-principles (PBE) data for a relaxed structure of TbErCdRu, as listed in the Alexandria database.

The structure in POSCAR format:
```
TbErCdRu
1.0
5.020 0.000 0.000
2.510 4.347 0.000
2.510 1.449 4.099
Ru Er Cd Tb
1 1 1 1
Cartesian
7.530 4.347 3.074 Ru
5.020 2.898 2.049 Er
2.510 1.449 1.025 Cd
0.000 0.000 0.000 Tb
```

Output
Mass density: 10018 kg/m3
Total moment: 0.000 μB per cell
SG: No. 216
Offset from the most stable computed form: 0.116 eV/atom